*A*
AsAuNO: optimized geometry, PBE.

Summary:
Crystal system = orthorhombic

Cell lengths 5.624, 6.605, 6.175 Å; angles 90.00, 90.00, 90.00 degrees
Space group Pca2_1 (No. 29)
Inequivalent atoms, fractional coordinates:
As  0.020  0.099  0.000 [4 per cell]
Au  0.157  0.576  0.125 [4 per cell]
N  0.205  0.884  0.120 [4 per cell]
O  0.160  0.269  0.181 [4 per cell]

---

*B*
AsAuNO: optimized geometry, PBE.

Summary:
Crystal system = orthorhombic

Cell lengths 3.760, 6.686, 5.399 Å; angles 90.00, 90.00, 90.00 degrees
Space group Pmc2_1 (No. 26)
Inequivalent atoms, fractional coordinates:
As  0.000  0.158  0.000 [2 per cell]
Au  0.500  0.491  0.711 [2 per cell]
N  0.500  0.260  0.971 [2 per cell]
O  0.000  0.072  0.323 [2 per cell]

---

*C*
AsAuNO: optimized geometry, PBE.

Summary:
Crystal system = tetragonal

Cell lengths 4.243, 4.243, 6.323 Å; angles 90.00, 90.00, 90.00 degrees
Space group P4/nmm (No. 129, origin choice 2)
Inequivalent atoms, fractional coordinates:
As  0.250  0.750  0.000 [2 per cell]
Au  0.250  0.250  0.422 [2 per cell]
N  0.250  0.250  0.942 [2 per cell]
O  0.250  0.750  0.500 [2 per cell]

---

*D*
AsAuNO: optimized geometry, PBE.

Summary:
Crystal system = orthorhombic

Cell lengths 6.361, 7.216, 5.329 Å; angles 90.00, 90.00, 90.00 degrees
Space group Pca2_1 (No. 29)
Inequivalent atoms, fractional coordinates:
As  0.077  0.145  0.000 [4 per cell]
Au  0.083  0.553  0.939 [4 per cell]
N  0.123  0.664  0.567 [4 per cell]
O  0.063  0.961  0.241 [4 per cell]

---

Stability, highest: *B*

---

*A*
NaAsAuO: optimized geometry, PBE.

Summary:
Crystal system = orthorhombic

Cell lengths 3.999, 7.399, 4.898 Å; angles 90.00, 90.00, 90.00 degrees
Space group Pmc2_1 (No. 26)
Inequivalent atoms, fractional coordinates:
Na  0.000  0.166  0.000 [2 per cell]
As  0.500  0.463  0.911 [2 per cell]
Au  0.500  0.186  0.504 [2 per cell]
O  0.000  0.132  0.483 [2 per cell]

---

*B*
NaAsAuO: optimized geometry, PBE.

Summary:
Crystal system = orthorhombic

Cell lengths 3.298, 8.065, 5.551 Å; angles 90.00, 90.00, 90.00 degrees
Space group Pmc2_1 (No. 26)
Inequivalent atoms, fractional coordinates:
Na  0.000  0.085  0.000 [2 per cell]
As  0.000  0.484  0.619 [2 per cell]
Au  0.500  0.271  0.486 [2 per cell]
O  0.500  0.066  0.291 [2 per cell]

---

*C*
NaAsAuO: optimized geometry, PBE.

Summary:
Crystal system = tetragonal

Cell lengths 4.247, 4.247, 6.729 Å; angles 90.00, 90.00, 90.00 degrees
Space group P4/nmm (No. 129, origin choice 2)
Inequivalent atoms, fractional coordinates:
Na  0.250  0.250  0.151 [2 per cell]
As  0.250  0.250  0.751 [2 per cell]
Au  0.250  0.750  0.500 [2 per cell]
O  0.250  0.750  0.000 [2 per cell]

---

Stability, highest: *B*

---

*A*
Na4As2PdAu: optimized geometry, PBE.

Summary:
Crystal system = tetragonal

Cell lengths 4.707, 4.707, 6.681 Å; angles 90.00, 90.00, 90.00 degrees
Space group P-4m2 (No. 115)
Inequivalent atoms, fractional coordinates:
Na  0.000  0.000  0.000 [1 per cell]
Na  0.000  0.500  0.247 [2 per cell]
Na  0.500  0.500  0.500 [1 per cell]
As  0.000  0.500  0.761 [2 per cell]
Pd  0.500  0.500  0.000 [1 per cell]
Au  0.000  0.000  0.500 [1 per cell]

---

*B*
Na4As2PdAu: optimized geometry, PBE.

Summary:
Crystal system = monoclinic

Cell lengths 7.035, 8.837, 5.544 Å; angles 90.00, 90.38, 90.00 degrees
Space group C2/m (No. 12)
Inequivalent atoms, fractional coordinates:
Na  0.155  0.180  0.253 [8 per cell]
As  0.204  0.000  0.741 [4 per cell]
Pd  0.000  0.500  0.500 [2 per cell]
Au  0.000  0.500  0.000 [2 per cell]

---

Stability, highest: *B*

---

*A*
NbAsAuO: optimized geometry, PBE.

Summary:
Crystal system = tetragonal

Cell lengths 4.910, 4.910, 5.024 Å; angles 90.00, 90.00, 90.00 degrees
Space group P4/nmm (No. 129, origin choice 2)
Inequivalent atoms, fractional coordinates:
Nb  0.250  0.750  0.000 [2 per cell]
As  0.250  0.250  0.187 [2 per cell]
Au  0.250  0.250  0.680 [2 per cell]
O  0.250  0.750  0.500 [2 per cell]

---

*B*
NbAsAuO: optimized geometry, PBE.

Summary:
Crystal system = orthorhombic

Cell lengths 3.056, 6.609, 7.243 Å; angles 90.00, 90.00, 90.00 degrees
Space group Pmc2_1 (No. 26)
Inequivalent atoms, fractional coordinates:
Nb  0.000  0.059  0.000 [2 per cell]
As  0.500  0.270  0.416 [2 per cell]
Au  0.500  0.411  0.098 [2 per cell]
O  0.000  0.094  0.741 [2 per cell]

---

Stability, highest: *B*

---

*A*
AsOsAuO: optimized geometry, PBE.

Summary:
Crystal system = orthorhombic

Cell lengths 3.020, 6.458, 7.318 Å; angles 90.00, 90.00, 90.00 degrees
Space group Pmc2_1 (No. 26)
Inequivalent atoms, fractional coordinates:
As  0.000  0.196  0.000 [2 per cell]
Os  0.500  0.484  0.081 [2 per cell]
Au  0.000  0.147  0.658 [2 per cell]
O  0.500  0.445  0.334 [2 per cell]

---

*B*
AsOsAuO: optimized geometry, PBE.

Summary:
Crystal system = orthorhombic

Cell lengths 3.763, 6.675, 5.400 Å; angles 90.00, 90.00, 90.00 degrees
Space group Pmc2_1 (No. 26)
Inequivalent atoms, fractional coordinates:
As  0.000  0.245  0.000 [2 per cell]
Os  0.000  0.122  0.564 [2 per cell]
Au  0.500  0.493  0.035 [2 per cell]
O  0.500  0.118  0.551 [2 per cell]

---

Stability, highest: *A*

---

*A*
AsOsAuO: optimized geometry, PBE.

Summary:
Crystal system = tetragonal

Cell lengths 4.077, 4.077, 7.608 Å; angles 90.00, 90.00, 90.00 degrees
Space group P4/nmm (No. 129, origin choice 2)
Inequivalent atoms, fractional coordinates:
As  0.250  0.250  0.184 [2 per cell]
Os  0.250  0.750  0.000 [2 per cell]
Au  0.250  0.250  0.616 [2 per cell]
O  0.250  0.750  0.500 [2 per cell]

---

*B*
AsOsAuO: optimized geometry, PBE.

Summary:
Crystal system = tetragonal

Cell lengths 3.613, 3.613, 9.401 Å; angles 90.00, 90.00, 90.00 degrees
Space group P4/nmm (No. 129, origin choice 2)
Inequivalent atoms, fractional coordinates:
As  0.250  0.250  0.247 [2 per cell]
Os  0.250  0.250  0.629 [2 per cell]
Au  0.250  0.750  0.000 [2 per cell]
O  0.250  0.750  0.500 [2 per cell]

---

Stability, highest: *A*

---

*A*
AsPbAuO: optimized geometry, PBE.

Summary:
Crystal system = orthorhombic

Cell lengths 4.298, 6.966, 6.131 Å; angles 90.00, 90.00, 90.00 degrees
Space group Pmc2_1 (No. 26)
Inequivalent atoms, fractional coordinates:
As  0.000  0.143  0.000 [2 per cell]
Pb  0.500  0.314  0.226 [2 per cell]
Au  0.000  0.199  0.593 [2 per cell]
O  0.500  0.399  0.581 [2 per cell]

---

*B*
AsPbAuO: optimized geometry, PBE.

Summary:
Crystal system = orthorhombic

Cell lengths 3.577, 6.805, 7.750 Å; angles 90.00, 90.00, 90.00 degrees
Space group Pmc2_1 (No. 26)
Inequivalent atoms, fractional coordinates:
As  0.000  0.201  0.000 [2 per cell]
Pb  0.000  0.206  0.611 [2 per cell]
Au  0.500  0.273  0.214 [2 per cell]
O  0.500  0.342  0.483 [2 per cell]

---

*C*
AsPbAuO: optimized geometry, PBE.

Summary:
Crystal system = tetragonal

Cell lengths 4.613, 4.613, 8.516 Å; angles 90.00, 90.00, 90.00 degrees
Space group P4/nmm (No. 129, origin choice 2)
Inequivalent atoms, fractional coordinates:
As  0.250  0.250  0.209 [2 per cell]
Pb  0.250  0.750  0.000 [2 per cell]
Au  0.250  0.250  0.517 [2 per cell]
O  0.250  0.750  0.500 [2 per cell]

---

*D*
AsPbAuO: optimized geometry, PBE.

Summary:
Crystal system = tetragonal

Cell lengths 4.203, 4.203, 9.515 Å; angles 90.00, 90.00, 90.00 degrees
Space group P4/nmm (No. 129, origin choice 2)
Inequivalent atoms, fractional coordinates:
As  0.250  0.250  0.160 [2 per cell]
Pb  0.250  0.250  0.619 [2 per cell]
Au  0.250  0.750  0.000 [2 per cell]
O  0.250  0.750  0.500 [2 per cell]

---

Stability, highest: *D*

---

*A*
ScAsAuO: optimized geometry, PBE.

Summary:
Crystal system = orthorhombic

Cell lengths 4.973, 6.668, 5.114 Å; angles 90.00, 90.00, 90.00 degrees
Space group Pmc2_1 (No. 26)
Inequivalent atoms, fractional coordinates:
Sc  0.000  0.165  0.000 [2 per cell]
As  0.500  0.319  0.871 [2 per cell]
Au  0.500  0.298  0.373 [2 per cell]
O  0.000  0.103  0.367 [2 per cell]

---

*B*
ScAsAuO: optimized geometry, PBE.

Summary:
Crystal system = tetragonal

Cell lengths 3.818, 3.818, 9.253 Å; angles 90.00, 90.00, 90.00 degrees
Space group P4/nmm (No. 129, origin choice 2)
Inequivalent atoms, fractional coordinates:
Sc  0.250  0.250  0.100 [2 per cell]
As  0.250  0.250  0.712 [2 per cell]
Au  0.250  0.750  0.500 [2 per cell]
O  0.250  0.750  0.000 [2 per cell]

---

*C*
ScAsAuO: optimized geometry, PBE.

Summary:
Crystal system = orthorhombic

Cell lengths 5.927, 3.626, 7.368 Å; angles 90.00, 90.00, 90.00 degrees
Space group Pmma (No. 51)
Inequivalent atoms, fractional coordinates:
Sc  0.250  0.000  0.167 [2 per cell]
As  0.250  0.000  0.798 [2 per cell]
Au  0.250  0.500  0.566 [2 per cell]
O  0.250  0.500  0.263 [2 per cell]

---

Stability, highest: *B*